! PBE-GGA NaY2BC, optimized geometry; values from VASP
! Total magnetic moment in μB/atom: 0.000
! E_form in eV/f.u.: 1.7
! E in eV/f.u.: -28.44
&SYSTEM
  ibrav = 0, nat = 5, ntyp = 4
/
ATOMIC_SPECIES
Na 22.99 Na.upf
Y 88.91 Y.upf
B 10.81 B.upf
C 12.01 C.upf
CELL_PARAMETERS angstrom
5.371 0.000 0.000
0.000 5.371 0.000
0.000 0.000 3.134
ATOMIC_POSITIONS crystal
Na 0.000 0.000 0.000
Y 0.000 0.500 0.500
Y 0.500 0.000 0.500
B 0.500 0.500 0.000
C 0.500 0.500 0.500